Density functional theory data (PBE) for a relaxed structure of BaLa3Tl2.

Cell: 19.3029 5.3049 10.2392 Å, 90.00 117.63 90.00°
Space group C2/m (No. 12)
Asymmetric unit:
Ba 0.1454 0.0000 0.0640
La 0.0483 0.0000 0.3909
La 0.0959 0.5000 0.6769
La 0.1869 0.5000 0.4182
Tl 0.0090 0.5000 0.1499
Tl 0.2008 0.0000 0.7328

Results
**DOS(E_F)**: 6.66 states/eV/f.u.
**Energy relative to the lowest polymorph listed for this composition**: 76 meV/atom
**Calculated total energy**: -0.138 hartree per atom
**Calculated volume**: 38.70 Å³/atom
**Formation energy**: -195 meV per atom